[1]
A plane-wave DFT calculation with GGA-PBEsol was carried out for a relaxed BiSeN3 crystal.

Properties
The crystal system is cubic. Its formation energy (no corrections) is 217 kJ per mole of atoms. The calculation puts the total magnetization at 0.3210 μB/atom. The calculation puts the density of states at the Fermi level at 4.44 states/eV/cell. As for the space group: Pm-3m.

Lattice parameters (Å, degrees): 4.2686 4.2686 4.2686 90.00 90.00 90.00
With the nearest neighbours (Å) after each atom.
Fractional coordinates of all 5 atoms:
N  0.0000  0.0000  0.5000  2 Bi 2.13
N  0.5000  0.0000  0.0000  2 Bi 2.13
N  0.0000  0.5000  0.0000  2 Bi 2.13
Se  0.5000  0.5000  0.5000  12 N 3.02
Bi  0.0000  0.0000  0.0000  6 N 2.13



[2]
A plane-wave DFT calculation with GGA-PBEsol was carried out for a relaxed Ca2AgMo crystal.

Properties
The crystal system is cubic. The calculation puts the total magnetization at 0.6853 μB/atom. The value obtained for the energy above the most stable polymorph in this dataset is 11.5 kJ/mol of atoms. The calculation puts the density of states at the Fermi level at 2.61 states/eV/cell. As for the space group: F-43m. The calculation puts the energy relative to the elements at 708.1 meV per atom.

Lattice parameters (Å, degrees): 5.0303 5.0303 5.0303 60.00 60.00 60.00
With the nearest neighbours (Å) after each atom.
Fractional coordinates of all 4 atoms:
Ag  0.5000  0.5000  0.5000  4 Mo 3.08, 4 Ca 3.08
Ca  0.7500  0.7500  0.7500  4 Ca 3.08, 4 Ag 3.08
Ca  0.0000  0.0000  0.0000  4 Mo 3.08, 4 Ca 3.08
Mo  0.2500  0.2500  0.2500  4 Ag 3.08, 4 Ca 3.08



[3]
A plane-wave DFT calculation with GGA-PBEsol was carried out for a relaxed Sc2Co2Cu crystal.

Properties
The crystal system is tetragonal. The calculation puts the total magnetization at 0.4241 μB/atom. The value obtained for the energy above the most stable polymorph in this dataset is 22.9 kJ/mol of atoms. The calculation puts the density of states at the Fermi level at 4.63 states/eV/cell. As for the space group: I4/mmm. The calculation puts the energy relative to the elements at 2.1 meV per atom.

Lattice parameters (Å, degrees): 3.2659 3.2659 7.7015 102.24 102.24 90.00
With the nearest neighbours (Å) after each atom.
Fractional coordinates of all 5 atoms:
Sc  0.3923  0.3923  0.7846  4 Co 2.65, 4 Cu 2.80
Sc  0.6077  0.6077  0.2154  4 Co 2.65, 4 Cu 2.80
Cu  0.0000  0.0000  0.0000  8 Sc 2.80
Co  0.2500  0.7500  0.5000  4 Co 2.31
Co  0.7500  0.2500  0.5000  4 Co 2.31



[4]
A plane-wave DFT calculation with GGA-PBEsol was carried out for a relaxed SrLiRhF2 crystal.

Properties
The crystal system is tetragonal. Its formation energy (no corrections) is -97 kJ per mole of atoms. The calculation puts the total magnetization at 0.0001 μB/atom. The calculation puts the density of states at the Fermi level at 2.46 states/eV/cell. As for the space group: P4/mmm.

Lattice parameters (Å, degrees): 4.2736 4.4730 4.4730 90.00 90.00 90.00
With the nearest neighbours (Å) after each atom.
Fractional coordinates of all 5 atoms:
Li  0.5000  0.0000  0.0000  2 Rh 2.14
F  0.0000  0.0000  0.5000  2 Rh 2.24
F  0.0000  0.5000  0.0000  2 Rh 2.24
Rh  0.0000  0.0000  0.0000  2 Li 2.14, 4 F 2.24
Sr  0.5000  0.5000  0.5000  8 F 3.09, 4 Li 3.16



[5]
A plane-wave DFT calculation with GGA-PBEsol was carried out for a relaxed BeNi2P crystal.

Properties
The crystal system is tetragonal. The calculation puts the total magnetization at 0.0001 μB/atom. The value obtained for the energy above the most stable polymorph in this dataset is 0.0 kJ/mol of atoms. The calculation puts the density of states at the Fermi level at 2.42 states/eV/cell. As for the space group: P4/mmm. The calculation puts the energy relative to the elements at -416.2 meV per atom.

Lattice parameters (Å, degrees): 3.0919 3.5415 3.5415 90.00 90.00 90.00
With the nearest neighbours (Å) after each atom.
Fractional coordinates of all 4 atoms:
Ni  0.0000  0.5000  0.0000  4 Be 2.35, 4 P 2.35, 4 Ni 2.50
Ni  0.0000  0.0000  0.5000  4 Be 2.35, 4 P 2.35, 4 Ni 2.50
Be  0.5000  0.0000  0.0000  8 Ni 2.35, 4 P 2.50
P  0.5000  0.5000  0.5000  8 Ni 2.35, 4 Be 2.50



[6]
A plane-wave DFT calculation with GGA-PBEsol was carried out for a relaxed SrTl2Cd crystal.

Properties
The crystal system is monoclinic. The calculation puts the total magnetization at 0.0000 μB/atom. The calculation puts the density of states at the Fermi level at 1.75 states/eV/cell. As for the space group: P2/m. The calculation puts the energy relative to the elements at -221.4 meV per atom.

Lattice parameters (Å, degrees): 3.6761 4.9061 6.4341 90.00 100.73 90.00
With the nearest neighbours (Å) after each atom.
Fractional coordinates of all 4 atoms:
Tl  0.3382  0.0000  0.2268  2 Cd 2.97
Tl  0.6618  0.0000  0.7732  2 Cd 2.97
Cd  0.5000  0.5000  0.0000  4 Tl 2.97
Sr  0.0000  0.5000  0.5000  8 Tl 3.39-3.67, 2 Cd 3.39, 2 Sr 3.68



[7]
A plane-wave DFT calculation with GGA-PBEsol was carried out for a relaxed TiGeO3 crystal.

Properties
The crystal system is trigonal. Its formation energy (no corrections) is -220 kJ per mole of atoms. The calculation puts the total magnetization at 0.0000 μB/atom. As for the space group: R-3.

Lattice parameters (Å, degrees): 4.9815 4.9815 7.0852 69.42 69.42 60.00
With the nearest neighbours (Å) after each atom.
Fractional coordinates of all 10 atoms:
Ge  0.3952  0.3952  0.8143  3 O 1.96
Ge  0.6048  0.6048  0.1857  3 O 1.96
O  0.7871  0.1056  0.6644  2 Ti 1.90-2.02, 1 Ge 1.96
O  0.4428  0.7871  0.6644  2 Ti 1.90-2.02, 1 Ge 1.96
O  0.2129  0.8944  0.3356  2 Ti 1.90-2.02, 1 Ge 1.96
O  0.5572  0.2129  0.3356  2 Ti 1.90-2.02, 1 Ge 1.96
O  0.1056  0.4428  0.6644  2 Ti 1.90-2.02, 1 Ge 1.96
O  0.8944  0.5572  0.3356  2 Ti 1.90-2.02, 1 Ge 1.96
Ti  0.8273  0.8273  0.5180  6 O 1.90-2.02
Ti  0.1727  0.1727  0.4820  6 O 1.90-2.02



[8]
A plane-wave DFT calculation with GGA-PBEsol was carried out for a relaxed TlReSb2 crystal.

Properties
The crystal system is orthorhombic. Its formation energy (no corrections) is 47 kJ per mole of atoms. The calculation puts the total magnetization at 0.0001 μB/atom. The value obtained for the energy above the most stable polymorph in this dataset is 14.1 kJ/mol of atoms. The calculation puts the density of states at the Fermi level at 3.24 states/eV/cell. As for the space group: Cmmm.

Lattice parameters (Å, degrees): 3.1442 3.1442 10.5398 90.00 90.00 117.10
With the nearest neighbours (Å) after each atom.
Fractional coordinates of all 4 atoms:
Tl  0.5000  0.5000  0.5000  6 Tl 3.14-3.28
Sb  0.0000  0.0000  0.7969  2 Re 2.70
Sb  0.0000  0.0000  0.2031  2 Re 2.70
Re  0.5000  0.5000  0.0000  4 Sb 2.70



[9]
A plane-wave DFT calculation with GGA-PBEsol was carried out for a relaxed ReAg2Se crystal.

Properties
The crystal system is trigonal. Its formation energy (no corrections) is 22 kJ per mole of atoms. The calculation puts the total magnetization at 0.0000 μB/atom. The calculation puts the density of states at the Fermi level at 2.14 states/eV/cell. As for the space group: R3m.

Lattice parameters (Å, degrees): 2.9718 2.9718 9.1950 80.70 80.70 60.00
With the nearest neighbours (Å) after each atom.
Fractional coordinates of all 4 atoms:
Ag  0.0046  0.0046  0.9862  9 Ag 2.83-2.97
Ag  0.7541  0.7541  0.7376  9 Ag 2.83-2.97, 3 Re 2.86
Se  0.2358  0.2358  0.2925  3 Re 2.43
Re  0.5054  0.5054  0.4837  3 Se 2.43



[10]
A plane-wave DFT calculation with GGA-PBEsol was carried out for a relaxed KLaCo2 crystal.

Properties
The crystal system is orthorhombic. The calculation puts the total magnetization at 0.5807 μB/atom. The value obtained for the energy above the most stable polymorph in this dataset is 27.0 kJ/mol of atoms. The calculation puts the density of states at the Fermi level at 5.36 states/eV/cell. As for the space group: Immm. The calculation puts the energy relative to the elements at 872.1 meV per atom.

Lattice parameters (Å, degrees): 5.1493 5.0360 5.0360 67.18 59.25 59.25
With the nearest neighbours (Å) after each atom.
Fractional coordinates of all 4 atoms:
Co  0.6670  0.3330  0.3330  1 Co 2.21
Co  0.3330  0.6670  0.6670  1 Co 2.21
La  0.0000  0.5000  0.5000  4 Co 2.80
K  0.5000  0.0000  0.0000  4 Co 3.00, 2 La 3.31



[11]
A plane-wave DFT calculation with GGA-PBEsol was carried out for a relaxed YMnCo crystal.

Properties
The crystal system is cubic. The calculation puts the total magnetization at 1.2627 μB/atom. The value obtained for the energy above the most stable polymorph in this dataset is 111.2 kJ/mol of atoms. The calculation puts the density of states at the Fermi level at 2.82 states/eV/cell. As for the space group: F-43m. The calculation puts the energy relative to the elements at 1110.1 meV per atom.

Lattice parameters (Å, degrees): 4.3215 4.3215 4.3215 60.00 60.00 60.00
With the nearest neighbours (Å) after each atom.
Fractional coordinates of all 3 atoms:
Mn  0.5000  0.5000  0.5000  4 Y 2.65
Y  0.2500  0.2500  0.2500  4 Mn 2.65, 4 Co 2.65
Co  0.0000  0.0000  0.0000  4 Y 2.65



[12]
A plane-wave DFT calculation with GGA-PBEsol was carried out for a relaxed YMn2Pb crystal.

Properties
The crystal system is trigonal. The calculation puts the total magnetization at 0.0000 μB/atom. The calculation puts the density of states at the Fermi level at 3.53 states/eV/cell. As for the space group: R3m. The calculation puts the energy relative to the elements at 88.0 meV per atom.

Lattice parameters (Å, degrees): 3.7803 3.7803 6.6366 73.45 73.45 60.00
With the nearest neighbours (Å) after each atom.
Fractional coordinates of all 4 atoms:
Mn  0.0383  0.0383  0.8852  3 Mn 2.20
Mn  0.7177  0.7177  0.8470  3 Mn 2.20
Pb  0.4730  0.4730  0.5809  6 Mn 2.75-2.90
Y  0.2710  0.2710  0.1869  6 Mn 2.89-3.05



[13]
A plane-wave DFT calculation with GGA-PBEsol was carried out for a relaxed Ti2BeTlAg crystal.

Properties
The crystal system is tetragonal. The calculation puts the total magnetization at 0.0002 μB/atom. The calculation puts the density of states at the Fermi level at 4.77 states/eV/cell. As for the space group: P4/mmm. The calculation puts the energy relative to the elements at 1394.9 meV per atom.

Lattice parameters (Å, degrees): 4.8367 4.8367 4.9870 90.00 90.00 90.00
With the nearest neighbours (Å) after each atom.
Fractional coordinates of all 5 atoms:
Ag  0.0000  0.0000  0.0000  4 Ti 2.42, 2 Tl 2.49
Tl  0.0000  0.0000  0.5000  2 Ag 2.49
Ti  0.5000  0.0000  0.0000  2 Ag 2.42
Ti  0.0000  0.5000  0.0000  2 Ag 2.42
Be  0.5000  0.5000  0.5000  4 Tl 3.42, 8 Ti 3.47



[14]
A plane-wave DFT calculation with GGA-PBEsol was carried out for a relaxed SrHf3Te crystal.

Properties
The crystal system is cubic. Its formation energy (no corrections) is 61 kJ per mole of atoms. The calculation puts the total magnetization at 0.0000 μB/atom. The calculation puts the density of states at the Fermi level at 2.52 states/eV/cell. As for the space group: Pm-3m.

Lattice parameters (Å, degrees): 5.2995 5.2995 5.2995 90.00 90.00 90.00
With the nearest neighbours (Å) after each atom.
Fractional coordinates of all 5 atoms:
Hf  0.5000  0.0000  0.0000  2 Te 2.65
Hf  0.0000  0.0000  0.5000  2 Te 2.65
Hf  0.0000  0.5000  0.0000  2 Te 2.65
Te  0.0000  0.0000  0.0000  6 Hf 2.65
Sr  0.5000  0.5000  0.5000  12 Hf 3.75



[15]
A plane-wave DFT calculation with GGA-PBEsol was carried out for a relaxed MgFe2Sn2 crystal.

Properties
The crystal system is tetragonal. The calculation puts the total magnetization at 0.3536 μB/atom. The calculation puts the density of states at the Fermi level at 4.60 states/eV/cell. As for the space group: I4/mmm. The calculation puts the energy relative to the elements at 335.8 meV per atom.

Lattice parameters (Å, degrees): 4.3565 4.3565 5.7232 112.37 112.37 90.00
With the nearest neighbours (Å) after each atom.
Fractional coordinates of all 5 atoms:
Fe  0.3946  0.3946  0.7892  1 Fe 2.03
Fe  0.6054  0.6054  0.2108  1 Fe 2.03
Sn  0.2500  0.7500  0.5000  4 Fe 2.59
Sn  0.7500  0.2500  0.5000  4 Fe 2.59
Mg  0.0000  0.0000  0.0000  8 Fe 3.24, 8 Sn 3.25